A relaxed Ca2CuPb2 crystal, computed with GGA-PBE.

a b c (Å): 7.5039 7.5039 4.9747
angles (deg): 90.00 90.00 90.00
Positions (direct):
1 Pb 0.3494 0.8494 0.0000
2 Pb 0.8494 0.6506 0.0000
3 Pb 0.6506 0.1506 0.0000
4 Pb 0.1506 0.3494 0.0000
5 Ca 0.1631 0.6631 0.5000
6 Ca 0.6631 0.8369 0.5000
7 Ca 0.8369 0.3369 0.5000
8 Ca 0.3369 0.1631 0.5000
9 Cu 0.0000 0.0000 0.0000
10 Cu 0.5000 0.5000 0.0000

Results
Total magnetization = 0.000 μB per cell
Offset from the most stable computed form = 0.0000 eV/atom
Symmetry = P4/mbm, No. 127
Formation enthalpy at 0 K = -0.27 eV/atom